Zn | GGA-PBE | optimized geometry

## Properties
Its symmetry is P6_3/m, No. 176. For the magnetization, the calculation gives 0.00 μB per cell. For the formation energy from the elements, the calculation gives 0.0517 eV per atom. For the distance to the lowest polymorph of the same formula, the calculation gives 0.052 eV per atom.

Cell: 7.064 7.064 4.536 Å, 90.00 90.00 120.00°
Sites, in units of the cell vectors:
Zn1 0.041 0.800 0.250
Zn2 0.090 0.614 0.750
Zn3 0.200 0.241 0.250
Zn4 0.241 0.041 0.750
Zn5 0.386 0.476 0.750
Zn6 0.476 0.090 0.250
Zn7 0.524 0.910 0.750
Zn8 0.614 0.524 0.250
Zn9 0.759 0.959 0.250
Zn10 0.800 0.759 0.750
Zn11 0.910 0.386 0.250
Zn12 0.959 0.200 0.750



K2Nd2TiS6 | GGA-PBE | optimized geometry

## Properties
Its symmetry is C2/m, No. 12. For the magnetization, the calculation gives 0.00 μB per cell. The raw formation energy is -1.639 eV per atom.

Cell: 6.853 6.853 7.870 Å, 98.71 98.71 119.06°
Sites, in units of the cell vectors:
K1 0.171 0.829 0.000
K2 0.829 0.171 0.000
Nd1 0.333 0.667 0.500
Nd2 0.667 0.333 0.500
Ti1 0.000 0.000 0.500
S1 0.066 0.365 0.694
S2 0.226 0.226 0.309
S3 0.365 0.066 0.694
S4 0.635 0.934 0.306
S5 0.774 0.774 0.691
S6 0.934 0.635 0.306